# Zn2Pd3

Crystalline Zn2Pd3 at its relaxed geometry (PBE, Alexandria).

Output
symmetry	P4/mmm (123)
energy of formation from the pure elements	-0.459	eV per atom
total magnetic moment	0.0	μB/f.u.
crystal system	tetragonal
energy relative to the lowest polymorph listed for this composition	0.0	meV/atom
DOS(E_F)	3.020	states/eV/f.u.

a = 3.0788 Å, b = 3.0788 Å, c = 15.4486 Å
α = 90.00°, β = 90.00°, γ = 90.00°
Closest atoms and distances in Å follow each position.
Atoms (fractional coordinates):
1 Zn 0.5000 0.5000 0.2031  8 Pd 2.58-2.69
2 Zn 0.5000 0.5000 0.4024  8 Pd 2.64-2.65
3 Zn 0.5000 0.5000 0.5976  8 Pd 2.64-2.65
4 Zn 0.5000 0.5000 0.7969  8 Pd 2.58-2.69
5 Pd 0.0000 0.0000 0.8869  4 Zn 2.58, 4 Pd 2.79
6 Pd 0.0000 0.0000 0.1131  4 Zn 2.58, 4 Pd 2.79
7 Pd 0.0000 0.0000 0.3054  8 Zn 2.64-2.69
8 Pd 0.0000 0.0000 0.5000  8 Zn 2.65
9 Pd 0.0000 0.0000 0.6946  8 Zn 2.64-2.69
10 Pd 0.5000 0.5000 0.0000  12 Pd 2.79-3.08